1.
## HRuSCl2 (PBE-GGA)

Data for crystalline HRuSCl2 at its relaxed geometry.

Computed properties:
- Fermi-level density of states (states/eV/f.u.) = 5.1
- energy relative to the lowest polymorph listed for this composition (meV/atom) = 0
- SG = P4/mmm (123)
- theoretical density (g/cm³) = 3.177

a b c (Å): 4.950 4.950 4.375
angles (deg): 90.00 90.00 90.00
Element x y z (fractional)
1 H 0.000 0.000 0.000
2 Ru 0.500 0.500 0.500
3 S 0.500 0.500 0.000
4 Cl 0.000 0.500 0.500
5 Cl 0.500 0.000 0.500

***

2.
## HRuSCl2 (PBE-GGA)

Data for crystalline HRuSCl2 at its relaxed geometry.

Computed properties:
- Fermi-level density of states (states/eV/f.u.) = 5.0
- energy relative to the lowest polymorph listed for this composition (meV/atom) = 201
- SG = P4/mmm (123)
- theoretical density (g/cm³) = 4.279

a b c (Å): 4.757 4.757 3.517
angles (deg): 90.00 90.00 90.00
Element x y z (fractional)
1 H 0.000 0.000 0.000
2 Ru 0.000 0.000 0.500
3 S 0.500 0.500 0.000
4 Cl 0.000 0.500 0.500
5 Cl 0.500 0.000 0.500

***

3.
## Sm6HRu2Cl3 (PBE-GGA)

Data for crystalline Sm6HRu2Cl3 at its relaxed geometry.

Computed properties:
- Fermi-level density of states (states/eV/f.u.) = 4.1
- SG = C2/m (12)
- theoretical density (g/cm³) = 6.708

a b c (Å): 6.772 6.772 7.892
angles (deg): 98.29 98.29 120.05
Element x y z (fractional)
1 Sm 0.068 0.400 0.204
2 Sm 0.263 0.263 0.798
3 Sm 0.400 0.068 0.204
4 Sm 0.600 0.932 0.796
5 Sm 0.737 0.737 0.202
6 Sm 0.932 0.600 0.796
7 H 0.000 0.000 0.000
8 Ru 0.333 0.667 0.000
9 Ru 0.667 0.333 0.000
10 Cl 0.170 0.830 0.500
11 Cl 0.500 0.500 0.500
12 Cl 0.830 0.170 0.500

***

4.
## TaHRuCl2 (PBE-GGA)

Data for crystalline TaHRuCl2 at its relaxed geometry.

Computed properties:
- Fermi-level density of states (states/eV/f.u.) = 4.8
- SG = P4/mmm (123)
- theoretical density (g/cm³) = 7.149

a b c (Å): 4.821 4.821 3.537
angles (deg): 90.00 90.00 90.00
Element x y z (fractional)
1 Ta 0.000 0.000 0.000
2 H 0.000 0.000 0.500
3 Ru 0.500 0.500 0.500
4 Cl 0.000 0.500 0.000
5 Cl 0.500 0.000 0.000

***

Number 1: calculated total energy -18.32 eV/f.u.. Number 2: calculated total energy -17.31 eV/f.u.. Number 3: calculated total energy -66.79 eV/f.u.. Number 4: calculated total energy -24.55 eV/f.u..